## KBi4Au4 (PBE)

Data for a relaxed structure of KBi4Au4.

Lattice parameters (Å, degrees): 7.2780 7.2780 9.9103 90.00 90.00 90.00
Space group P4_2/nmc (No. 137, origin choice 2)
Symmetry-distinct sites (fractional):
K 0.2500 0.7500 0.2500 [2 per cell]
Bi 0.0067 0.2500 0.1106 [8 per cell]
Au 0.0572 0.2500 0.4040 [8 per cell]

Values from the calculation:
Energy relative to the elements: -0.1537 eV per atom
Total magnetic moment: 0.000 Bohr magnetons per cell
Energy: -3.4571 eV/atom
E above lowest polymorph: 0 meV per atom

=====

## NdIn3Pd4 (PBE)

Data for a relaxed structure of NdIn3Pd4.

Lattice parameters (Å, degrees): 4.8124 4.8124 23.2829 90.00 90.00 120.00
Space group R-3m (No. 166, hexagonal axes)
Symmetry-distinct sites (fractional):
Nd 0.0000 0.0000 0.0000 [3 per cell]
In 0.0000 0.0000 0.2517 [6 per cell]
In 0.0000 0.0000 0.5000 [3 per cell]
Pd 0.0000 0.0000 0.1302 [6 per cell]
Pd 0.0000 0.0000 0.3833 [6 per cell]

Values from the calculation:
Energy relative to the elements: -0.6060 eV per atom
Total magnetic moment: 0.000 Bohr magnetons per cell
Energy: -4.8253 eV/atom

=====

## Sm4B3Pd12Pt (PBE)

Data for a relaxed structure of Sm4B3Pd12Pt.

Lattice parameters (Å, degrees): 8.9749 8.9749 8.9749 90.00 90.00 90.00
Space group Im-3m (No. 229)
Symmetry-distinct sites (fractional):
Sm 0.2500 0.2500 0.2500 [8 per cell]
B 0.0000 0.0000 0.5000 [6 per cell]
Pd 0.0000 0.0000 0.2829 [12 per cell]
Pd 0.0000 0.2500 0.5000 [12 per cell]
Pt 0.0000 0.0000 0.0000 [2 per cell]

Values from the calculation:
Energy relative to the elements: -0.4925 eV per atom
Total magnetic moment: 0.000 Bohr magnetons per cell
Energy: -5.8556 eV/atom

=====

## CaSm6S8 (PBE)

Data for a relaxed structure of CaSm6S8.

Lattice parameters (Å, degrees): 11.3194 11.3194 11.3194 90.00 90.00 90.00
Space group Fm-3m (No. 225)
Symmetry-distinct sites (fractional):
Ca 0.0000 0.0000 0.0000 [4 per cell]
Sm 0.0000 0.2500 0.2500 [24 per cell]
S 0.0000 0.0000 0.2482 [24 per cell]
S 0.2500 0.2500 0.2500 [8 per cell]

Values from the calculation:
Total magnetic moment: 0.000 Bohr magnetons per cell
Energy: -6.2921 eV/atom
Formation energy (no corrections): -2.07 eV per atom

=====

## CrTe2PdN (PBE)

Data for a relaxed structure of CrTe2PdN.

Lattice parameters (Å, degrees): 5.2985 5.2985 3.4841 90.00 90.00 90.00
Space group P4/mmm (No. 123)
Symmetry-distinct sites (fractional):
Cr 0.0000 0.0000 0.0000 [1 per cell]
Te 0.0000 0.5000 0.0000 [2 per cell]
Pd 0.5000 0.5000 0.5000 [1 per cell]
N 0.0000 0.0000 0.5000 [1 per cell]

Values from the calculation:
Total magnetic moment: 1.443 Bohr magnetons per cell
Energy: -5.7029 eV/atom
Formation energy (no corrections): 0.18 eV per atom
E above lowest polymorph: 0 meV per atom

=====

## Pr2Nd2Y (PBE)

Data for a relaxed structure of Pr2Nd2Y.

Lattice parameters (Å, degrees): 16.2920 6.4330 6.9943 90.00 104.92 90.00
Space group C2/c (No. 15)
Symmetry-distinct sites (fractional):
Pr 0.1991 0.0845 0.1519 [8 per cell]
Nd 0.0986 0.4172 0.4510 [8 per cell]
Y 0.0000 0.0818 0.7500 [4 per cell]

Values from the calculation:
Energy relative to the elements: 0.0275 eV per atom
Total magnetic moment: 0.000 Bohr magnetons per cell
Energy: -5.0843 eV/atom
E above lowest polymorph: 0 meV per atom

=====

## ErTm3Pb2 (PBE)

Data for a relaxed structure of ErTm3Pb2.

Lattice parameters (Å, degrees): 4.5240 4.5240 8.4138 90.00 90.00 90.00
Space group P-4m2 (No. 115)
Symmetry-distinct sites (fractional):
Er 0.0000 0.0000 0.0000 [1 per cell]
Tm 0.0000 0.5000 0.3384 [2 per cell]
Tm 0.5000 0.5000 0.0000 [1 per cell]
Pb 0.0000 0.5000 0.7137 [2 per cell]

Values from the calculation:
Energy relative to the elements: -0.3822 eV per atom
Total magnetic moment: 0.001 Bohr magnetons per cell
Energy: -4.6145 eV/atom
E above lowest polymorph: 0 meV per atom

=====

## PuUS3 (PBE)

Data for a relaxed structure of PuUS3.

Lattice parameters (Å, degrees): 6.4988 16.2482 5.1629 90.00 90.00 90.00
Space group Cmmm (No. 65)
Symmetry-distinct sites (fractional):
Pu 0.0000 0.1902 0.0000 [4 per cell]
U 0.0000 0.3816 0.5000 [4 per cell]
S 0.0000 0.3575 0.0000 [4 per cell]
S 0.2344 0.0000 0.5000 [4 per cell]
S 0.2500 0.2500 0.5000 [4 per cell]

Values from the calculation:
Total magnetic moment: 32.018 Bohr magnetons per cell
Energy: -8.8036 eV/atom
Formation energy (no corrections): -1.20 eV per atom
E above lowest polymorph: 421 meV per atom

=====

## Ca2HgPt (PBE)

Data for a relaxed structure of Ca2HgPt.

Lattice parameters (Å, degrees): 4.1577 4.1577 6.1590 90.00 90.00 90.00
Space group P4mm (No. 99)
Symmetry-distinct sites (fractional):
Ca 0.0000 0.0000 0.0000 [1 per cell]
Ca 0.5000 0.5000 0.3804 [1 per cell]
Hg 0.0000 0.0000 0.5257 [1 per cell]
Pt 0.5000 0.5000 0.8991 [1 per cell]

Values from the calculation:
Energy relative to the elements: -0.4938 eV per atom
Total magnetic moment: 0.000 Bohr magnetons per cell
Energy: -3.0802 eV/atom

=====

## Tb3Dy2YP6 (PBE)

Data for a relaxed structure of Tb3Dy2YP6.

Lattice parameters (Å, degrees): 6.9609 12.0547 6.9607 90.00 109.45 90.00
Space group C2/m (No. 12)
Symmetry-distinct sites (fractional):
Tb 0.0000 0.0000 0.0000 [2 per cell]
Tb 0.0000 0.3334 0.0000 [4 per cell]
Dy 0.0000 0.1667 0.5000 [4 per cell]
Y 0.0000 0.5000 0.5000 [2 per cell]
P 0.2493 0.0000 0.7490 [4 per cell]
P 0.2502 0.1669 0.2511 [8 per cell]

Values from the calculation:
Energy relative to the elements: -1.6161 eV per atom
Total magnetic moment: 0.000 Bohr magnetons per cell
Energy: -6.7842 eV/atom

=====

## ZrTiSb2 (PBE)

Data for a relaxed structure of ZrTiSb2.

Lattice parameters (Å, degrees): 4.0500 4.0500 19.8687 90.00 90.00 120.00
Space group R-3m (No. 166, hexagonal axes)
Symmetry-distinct sites (fractional):
Zr 0.0000 0.0000 0.0000 [3 per cell]
Ti 0.0000 0.0000 0.5000 [3 per cell]
Sb 0.0000 0.0000 0.2446 [6 per cell]

Values from the calculation:
Total magnetic moment: 0.971 Bohr magnetons per cell
Energy: -6.5930 eV/atom
Formation energy (no corrections): -0.42 eV per atom
E above lowest polymorph: 43 meV per atom

=====

## BeZn2Pt (PBE)

Data for a relaxed structure of BeZn2Pt.

Lattice parameters (Å, degrees): 5.9468 5.9468 5.9468 90.00 90.00 90.00
Space group F-43m (No. 216)
Symmetry-distinct sites (fractional):
Be 0.0000 0.0000 0.0000 [4 per cell]
Zn 0.0000 0.0000 0.5000 [4 per cell]
Zn 0.2500 0.2500 0.7500 [4 per cell]
Pt 0.2500 0.2500 0.2500 [4 per cell]

Values from the calculation:
Energy relative to the elements: -0.2728 eV per atom
Total magnetic moment: 0.000 Bohr magnetons per cell
Energy: -3.3515 eV/atom

=====

## LaCu2Hg (PBE)

Data for a relaxed structure of LaCu2Hg.

Lattice parameters (Å, degrees): 3.3709 3.3709 7.1344 90.00 90.00 90.00
Space group P4mm (No. 99)
Symmetry-distinct sites (fractional):
La 0.0000 0.0000 0.0000 [1 per cell]
Cu 0.0000 0.0000 0.4327 [1 per cell]
Cu 0.5000 0.5000 0.2809 [1 per cell]
Hg 0.5000 0.5000 0.6593 [1 per cell]

Values from the calculation:
Energy relative to the elements: -0.0697 eV per atom
Total magnetic moment: 0.000 Bohr magnetons per cell
Energy: -3.4251 eV/atom

=====

## TbCe2Pr3Dy6 (PBE)

Data for a relaxed structure of TbCe2Pr3Dy6.

Lattice parameters (Å, degrees): 6.2141 10.7623 11.8008 90.00 100.10 90.00
Space group C2/m (No. 12)
Symmetry-distinct sites (fractional):
Tb 0.0000 0.0000 0.0000 [2 per cell]
Ce 0.0000 0.3335 0.0000 [4 per cell]
Pr 0.0000 0.1661 0.5000 [4 per cell]
Pr 0.0000 0.5000 0.5000 [2 per cell]
Dy 0.2461 0.5000 0.2450 [4 per cell]
Dy 0.2495 0.1678 0.2449 [8 per cell]

Values from the calculation:
Energy relative to the elements: 0.0459 eV per atom
Total magnetic moment: 3.917 Bohr magnetons per cell
Energy: -4.8249 eV/atom

=====

## ZrAlSi (PBE)

Data for a relaxed structure of ZrAlSi.

Lattice parameters (Å, degrees): 7.2677 7.2677 3.8206 90.00 90.00 120.00
Space group P-62m (No. 189)
Symmetry-distinct sites (fractional):
Zr 0.0000 0.0000 0.0000 [1 per cell]
Zr 0.3333 0.6667 0.5000 [2 per cell]
Al 0.0000 0.5900 0.0000 [3 per cell]
Si 0.0000 0.2727 0.5000 [3 per cell]

Values from the calculation:
Total magnetic moment: 0.000 Bohr magnetons per cell
Energy: -5.8700 eV/atom
Formation energy (no corrections): 0.03 eV per atom

=====

## ErHfBi2 (PBE)

Data for a relaxed structure of ErHfBi2.

Lattice parameters (Å, degrees): 3.4546 3.4546 33.6480 90.00 90.00 120.00
Space group R-3m (No. 166, hexagonal axes)
Symmetry-distinct sites (fractional):
Er 0.0000 0.0000 0.0000 [3 per cell]
Hf 0.0000 0.0000 0.5000 [3 per cell]
Bi 0.0000 0.0000 0.0950 [6 per cell]

Values from the calculation:
Energy relative to the elements: 0.0294 eV per atom
Total magnetic moment: 0.000 Bohr magnetons per cell
Energy: -5.5401 eV/atom
E above lowest polymorph: 364 meV per atom

=====

## Li6Er (PBE)

Data for a relaxed structure of Li6Er.

Lattice parameters (Å, degrees): 6.7967 6.7967 6.7967 90.00 90.00 90.00
Space group Im-3m (No. 229)
Symmetry-distinct sites (fractional):
Li 0.0000 0.2500 0.5000 [12 per cell]
Er 0.0000 0.0000 0.0000 [2 per cell]

Values from the calculation:
Energy relative to the elements: 0.4071 eV per atom
Total magnetic moment: 0.002 Bohr magnetons per cell
Energy: -1.8852 eV/atom

=====

## K3F5 (PBE)

Data for a relaxed structure of K3F5.

Lattice parameters (Å, degrees): 4.7473 17.5507 13.7588 90.00 90.00 90.00
Space group Fdd2 (No. 43)
Symmetry-distinct sites (fractional):
K 0.0000 0.0000 0.0000 [8 per cell]
K 0.0215 0.1672 0.5096 [16 per cell]
F 0.0000 0.0000 0.4046 [8 per cell]
F 0.0450 0.1458 0.1141 [16 per cell]
F 0.0724 0.1963 0.8925 [16 per cell]

Values from the calculation:
Total magnetic moment: 16.330 Bohr magnetons per cell
Energy: -3.6352 eV/atom
Formation energy (no corrections): -2.05 eV per atom

=====

## Rb2Pb2Cl (PBE)

Data for a relaxed structure of Rb2Pb2Cl.

Lattice parameters (Å, degrees): 7.4163 7.4163 8.8957 90.00 90.00 90.00
Space group I4/mmm (No. 139)
Symmetry-distinct sites (fractional):
Rb 0.0000 0.5000 0.2500 [4 per cell]
Pb 0.0000 0.0000 0.1569 [4 per cell]
Cl 0.0000 0.0000 0.5000 [2 per cell]

Values from the calculation:
Total magnetic moment: 0.000 Bohr magnetons per cell
Energy: -2.5163 eV/atom
Formation energy (no corrections): -0.28 eV per atom
E above lowest polymorph: 434 meV per atom

=====

## K3Pu2UO6 (PBE)

Data for a relaxed structure of K3Pu2UO6.

Lattice parameters (Å, degrees): 6.1814 10.7056 6.6328 90.00 108.10 90.00
Space group C2/m (No. 12)
Symmetry-distinct sites (fractional):
K 0.0000 0.0000 0.0000 [2 per cell]
K 0.0000 0.3318 0.0000 [4 per cell]
Pu 0.0000 0.1666 0.5000 [4 per cell]
U 0.0000 0.5000 0.5000 [2 per cell]
O 0.2213 0.3415 0.6884 [8 per cell]
O 0.2461 0.0000 0.6883 [4 per cell]

Values from the calculation:
Total magnetic moment: 26.001 Bohr magnetons per cell
Energy: -8.4523 eV/atom
Formation energy (no corrections): -2.37 eV per atom

=====

## CrIn2Ir (PBE)

Data for a relaxed structure of CrIn2Ir.

Lattice parameters (Å, degrees): 6.5560 6.5560 6.5560 90.00 90.00 90.00
Space group Fm-3m (No. 225)
Symmetry-distinct sites (fractional):
Cr 0.0000 0.0000 0.0000 [4 per cell]
In 0.2500 0.2500 0.2500 [8 per cell]
Ir 0.0000 0.0000 0.5000 [4 per cell]

Values from the calculation:
Energy relative to the elements: 0.0846 eV per atom
Total magnetic moment: 13.679 Bohr magnetons per cell
Energy: -5.9058 eV/atom
E above lowest polymorph: 15 meV per atom

=====

## LiCeGaGe (PBE)

Data for a relaxed structure of LiCeGaGe.

Lattice parameters (Å, degrees): 6.8834 6.8834 6.8834 90.00 90.00 90.00
Space group F-43m (No. 216)
Symmetry-distinct sites (fractional):
Li 0.0000 0.0000 0.0000 [4 per cell]
Ce 0.0000 0.0000 0.5000 [4 per cell]
Ga 0.2500 0.2500 0.7500 [4 per cell]
Ge 0.2500 0.2500 0.2500 [4 per cell]

Values from the calculation:
Energy relative to the elements: -0.4514 eV per atom
Total magnetic moment: 0.000 Bohr magnetons per cell
Energy: -4.3244 eV/atom

=====

| no. | volume (Å³/cell) |
| --- | --- |
| 1 | 524.94 |
| 2 | 466.98 |
| 3 | 722.93 |
| 4 | 1450.34 |
| 5 | 97.81 |
| 6 | 708.33 |
| 7 | 172.21 |
| 8 | 545.17 |
| 9 | 106.47 |
| 10 | 550.76 |
| 11 | 282.23 |
| 12 | 210.31 |
| 13 | 81.07 |
| 14 | 776.99 |
| 15 | 174.77 |
| 16 | 347.77 |
| 17 | 313.98 |
| 18 | 1146.37 |
| 19 | 489.28 |
| 20 | 417.19 |
| 21 | 281.78 |
| 22 | 326.14 |